# 1
Below is a geometry-optimized MnCuGeAu structure, with properties calculated at the PBE-GGA level.

Cell and atoms, written as POSCAR:
```
MnCuGeAu
1.0
3.696 0.000 0.000
0.000 3.872 0.000
0.000 0.000 4.222
Mn Cu Ge Au
1 1 1 1
direct
0.000 0.000 0.000
0.000 0.500 0.500
0.500 0.500 0.000
0.500 0.000 0.500
```

* spin magnetization: 0.84 μB per atom
* space group: Pmmm
* density of states at the Fermi level: 1.5 states/eV/cell
* energy relative to the elements: 0.61 kcal/mol of atoms
* distance to the lowest polymorph of the same formula: 0.0085 eV per atom
* electronic total energy: -0.387 Ry per atom

# 2
Below is a geometry-optimized Ba4LaAg structure, with properties calculated at the PBE-GGA level.

Cell and atoms, written as POSCAR:
```
Ba4LaAg
1.0
0.000 5.342 5.342
5.342 0.000 5.342
5.342 5.342 0.000
Ba La Ag
4 1 1
direct
0.125 0.125 0.125
0.125 0.125 0.626
0.125 0.626 0.125
0.626 0.125 0.125
0.750 0.750 0.750
0.500 0.500 0.500
```

* spin magnetization: 0.49 μB per atom
* space group: F-43m
* density of states at the Fermi level: 11.4 states/eV/cell
* energy relative to the elements: 12.08 kcal/mol of atoms
* electronic total energy: -0.151 Ry per atom

# 3
Below is a geometry-optimized HoAlGaRu structure, with properties calculated at the PBE-GGA level.

Cell and atoms, written as POSCAR:
```
HoAlGaRu
1.0
2.115 1.221 4.945
-2.115 1.221 4.945
0.000 -2.442 4.945
Ho Al Ga Ru
1 1 1 1
direct
0.000 0.000 0.000
0.790 0.790 0.790
0.213 0.213 0.213
0.492 0.492 0.492
```

* spin magnetization: 0.00 μB per atom
* space group: R3m
* density of states at the Fermi level: 2.2 states/eV/cell
* energy relative to the elements: -11.48 kcal/mol of atoms
* electronic total energy: -0.416 Ry per atom

# 4
Below is a geometry-optimized TbScZnHg structure, with properties calculated at the PBE-GGA level.

Cell and atoms, written as POSCAR:
```
TbScZnHg
1.0
0.000 3.564 3.564
3.564 0.000 3.564
3.564 3.564 0.000
Tb Sc Zn Hg
1 1 1 1
direct
0.000 0.000 0.000
0.500 0.500 0.500
0.250 0.250 0.250
0.750 0.750 0.750
```

* spin magnetization: 0.10 μB per atom
* space group: F-43m
* density of states at the Fermi level: 4.2 states/eV/cell
* energy relative to the elements: -8.73 kcal/mol of atoms
* electronic total energy: -0.258 Ry per atom

# 5
Below is a geometry-optimized CdIr2W2 structure, with properties calculated at the PBE-GGA level.

Cell and atoms, written as POSCAR:
```
CdIr2W2
1.0
7.775 0.000 0.000
0.000 7.775 0.000
0.000 0.000 2.794
Cd Ir W
2 4 4
direct
0.000 0.000 0.000
0.500 0.500 0.000
0.127 0.373 0.000
0.373 0.873 0.000
0.627 0.127 0.000
0.873 0.627 0.000
0.164 0.664 0.500
0.336 0.164 0.500
0.664 0.836 0.500
0.836 0.336 0.500
```

* spin magnetization: 0.00 μB per atom
* space group: P4/mbm
* density of states at the Fermi level: 5.0 states/eV/cell
* energy relative to the elements: 0.58 kcal/mol of atoms
* electronic total energy: -0.653 Ry per atom

# 6
Below is a geometry-optimized Nd2HoEr12 structure, with properties calculated at the PBE-GGA level.

Cell and atoms, written as POSCAR:
```
Nd2HoEr12
1.0
3.556 -5.571 0.000
3.556 5.571 0.000
-1.757 0.000 23.920
Nd Ho Er
4 2 24
direct
0.069 0.069 0.279
0.430 0.430 0.720
0.570 0.570 0.280
0.931 0.931 0.721
0.250 0.250 0.000
0.750 0.750 0.000
0.033 0.033 0.133
0.048 0.548 0.191
0.083 0.582 0.330
0.140 0.637 0.555
0.141 0.141 0.572
0.234 0.732 0.934
0.268 0.766 0.066
0.356 0.356 0.430
0.363 0.860 0.445
0.418 0.917 0.670
0.452 0.952 0.809
0.467 0.467 0.866
0.533 0.533 0.134
0.548 0.048 0.191
0.582 0.083 0.330
0.637 0.140 0.555
0.644 0.644 0.570
0.732 0.234 0.934
0.766 0.268 0.066
0.859 0.859 0.428
0.860 0.363 0.445
0.917 0.418 0.670
0.952 0.452 0.809
0.967 0.967 0.867
```

* spin magnetization: 0.00 μB per atom
* space group: C2/m
* density of states at the Fermi level: 51.1 states/eV/cell
* energy relative to the elements: 2.42 kcal/mol of atoms
* electronic total energy: -0.330 Ry per atom

# 7
Below is a geometry-optimized InAsF2 structure, with properties calculated at the PBE-GGA level.

Cell and atoms, written as POSCAR:
```
InAsF2
1.0
1.577 0.911 8.200
-1.577 0.911 8.200
0.000 -1.821 8.200
In As F
1 1 2
direct
0.000 0.000 0.000
0.500 0.500 0.500
0.418 0.418 0.418
0.582 0.582 0.582
```

* spin magnetization: 0.00 μB per atom
* space group: R-3m
* density of states at the Fermi level: 1.2 states/eV/cell
* energy relative to the elements, uncorrected: -1271.8 meV per atom
* distance to the lowest polymorph of the same formula: 0.0000 eV per atom
* electronic total energy: -0.298 Ry per atom

# 8
Below is a geometry-optimized Ti3GaPb structure, with properties calculated at the PBE-GGA level.

Cell and atoms, written as POSCAR:
```
Ti3GaPb
1.0
5.109 0.000 0.000
0.000 5.109 0.000
0.000 0.000 5.109
Ti Ga Pb
3 1 1
direct
0.000 0.000 0.500
0.000 0.500 0.000
0.500 0.000 0.000
0.500 0.500 0.500
0.000 0.000 0.000
```

* spin magnetization: 0.55 μB per atom
* space group: Pm-3m
* density of states at the Fermi level: 10.1 states/eV/cell
* energy relative to the elements: 26.96 kcal/mol of atoms
* distance to the lowest polymorph of the same formula: 1.3264 eV per atom
* electronic total energy: -0.361 Ry per atom

# 9
Below is a geometry-optimized ThCd11Ag structure, with properties calculated at the PBE-GGA level.

Cell and atoms, written as POSCAR:
```
ThCd11Ag
1.0
2.957 -7.031 0.000
2.957 7.031 0.000
-2.924 0.000 7.020
Th Cd Ag
1 11 1
direct
0.000 0.000 0.000
0.000 0.000 0.500
0.000 0.500 0.000
0.011 0.358 0.354
0.292 0.503 0.785
0.358 0.011 0.354
0.497 0.708 0.215
0.500 0.000 0.000
0.503 0.292 0.785
0.642 0.989 0.646
0.708 0.497 0.215
0.989 0.642 0.646
0.500 0.500 0.500
```

* spin magnetization: 0.00 μB per atom
* space group: C2/m
* density of states at the Fermi level: 3.0 states/eV/cell
* energy relative to the elements: -1.64 kcal/mol of atoms
* electronic total energy: -0.120 Ry per atom

# 10
Below is a geometry-optimized LiSc3P structure, with properties calculated at the PBE-GGA level.

Cell and atoms, written as POSCAR:
```
LiSc3P
1.0
4.995 0.000 0.000
0.000 4.995 0.000
0.000 0.000 4.995
Li Sc P
1 3 1
direct
0.000 0.000 0.000
0.000 0.500 0.500
0.500 0.000 0.500
0.500 0.500 0.000
0.500 0.500 0.500
```

* spin magnetization: 0.30 μB per atom
* space group: Pm-3m
* density of states at the Fermi level: 9.5 states/eV/cell
* energy relative to the elements: -7.64 kcal/mol of atoms
* distance to the lowest polymorph of the same formula: 0.0000 eV per atom
* electronic total energy: -0.411 Ry per atom

# 11
Below is a geometry-optimized LaNd4Te6 structure, with properties calculated at the PBE-GGA level.

Cell and atoms, written as POSCAR:
```
LaNd4Te6
1.0
2.218 -7.356 0.000
2.218 7.356 0.000
0.000 0.000 22.871
La Nd Te
2 8 12
direct
0.157 0.843 0.750
0.843 0.157 0.250
0.088 0.912 0.126
0.088 0.912 0.374
0.356 0.644 0.037
0.356 0.644 0.463
0.644 0.356 0.537
0.644 0.356 0.963
0.912 0.088 0.626
0.912 0.088 0.874
0.000 0.000 0.000
0.000 0.000 0.500
0.184 0.816 0.250
0.267 0.733 0.594
0.267 0.733 0.906
0.446 0.554 0.166
0.446 0.554 0.334
0.554 0.446 0.666
0.554 0.446 0.834
0.733 0.267 0.094
0.733 0.267 0.406
0.816 0.184 0.750
```

* spin magnetization: 0.00 μB per atom
* space group: Cmcm
* density of states at the Fermi level: 7.6 states/eV/cell
* energy relative to the elements, uncorrected: -1481.1 meV per atom
* electronic total energy: -0.395 Ry per atom

# 12
Below is a geometry-optimized CeInIr structure, with properties calculated at the PBE-GGA level.

Cell and atoms, written as POSCAR:
```
CeInIr
1.0
-1.657 1.657 6.000
1.657 -1.657 6.000
1.657 1.657 -6.000
Ce In Ir
1 1 1
direct
0.000 0.000 0.000
0.288 0.288 0.000
0.647 0.647 0.000
```

* spin magnetization: 0.24 μB per atom
* space group: I4mm
* density of states at the Fermi level: 5.0 states/eV/cell
* energy relative to the elements: -9.81 kcal/mol of atoms
* electronic total energy: -0.461 Ry per atom